[1]
CaLa2Ni2 | SCAN | PBEsol geometry Values from VASP.

Calculated values
* energy relative to the lowest polymorph listed for this composition: 0 meV per atom
* uncorrected energy: -258.0 eV for the cell shown
* volume: 23.597 Å³/atom
* E_form: -0.156 eV per atom

```
&SYSTEM
  ibrav = 0, nat = 10, ntyp = 3
/
ATOMIC_SPECIES
Ca 40.08 Ca.upf
La 138.91 La.upf
Ni 58.69 Ni.upf
ATOMIC_POSITIONS angstrom
Ca 0.0000 0.0000 0.0000
Ca 3.8715 3.8715 0.0000
La 1.2399 2.6315 1.9680
La 2.6315 6.5030 1.9680
La 5.1114 1.2399 1.9680
La 6.5030 5.1114 1.9680
Ni 0.9321 4.8035 0.0000
Ni 2.9394 0.9321 0.0000
Ni 4.8035 6.8109 0.0000
Ni 6.8109 2.9394 0.0000
CELL_PARAMETERS angstrom
7.7430 0.0000 0.0000
0.0000 7.7430 0.0000
0.0000 0.0000 3.9359
```



[2]
CaLa2O2 | SCAN | PBEsol geometry Values from VASP.

Calculated values
* uncorrected formation energy: -2.474 eV per atom
* uncorrected energy: -241.4 eV for the cell shown
* volume: 29.457 Å³/atom

```
&SYSTEM
  ibrav = 0, nat = 10, ntyp = 3
/
ATOMIC_SPECIES
Ca 40.08 Ca.upf
La 138.91 La.upf
O 16.00 O.upf
ATOMIC_POSITIONS angstrom
Ca 0.0000 0.0000 0.0000
Ca 2.0552 2.0552 8.7179
La 0.0000 0.0000 5.5104
La 0.0000 0.0000 11.9254
La 2.0552 2.0552 3.2075
La 2.0552 2.0552 14.2282
O 0.0000 2.0552 4.3589
O 0.0000 2.0552 13.0768
O 2.0552 0.0000 4.3589
O 2.0552 0.0000 13.0768
CELL_PARAMETERS angstrom
4.1103 0.0000 0.0000
0.0000 4.1103 0.0000
0.0000 0.0000 17.4357
```



[3]
CaLaP2O | SCAN | PBEsol geometry Values from VASP.

Calculated values
* uncorrected formation energy: -0.757 eV per atom
* uncorrected energy: -83.6 eV for the cell shown
* volume: 24.925 Å³/atom

```
&SYSTEM
  ibrav = 0, nat = 5, ntyp = 4
/
ATOMIC_SPECIES
Ca 40.08 Ca.upf
La 138.91 La.upf
P 30.97 P.upf
O 16.00 O.upf
ATOMIC_POSITIONS angstrom
Ca 0.0000 0.0000 0.0000
La 2.7200 2.7200 2.1057
P 0.0000 2.7200 2.1057
P 2.7200 0.0000 2.1057
O 2.7200 2.7200 0.0000
CELL_PARAMETERS angstrom
5.4399 0.0000 0.0000
0.0000 5.4399 0.0000
0.0000 0.0000 4.2113
```



[4]
Ca2La3Si3O13 | SCAN | PBEsol geometry Values from VASP.

Calculated values
* uncorrected formation energy: -3.407 eV per atom
* uncorrected energy: -662.5 eV for the cell shown
* volume: 13.384 Å³/atom

```
&SYSTEM
  ibrav = 0, nat = 42, ntyp = 4
/
ATOMIC_SPECIES
Ca 40.08 Ca.upf
La 138.91 La.upf
Si 28.09 Si.upf
O 16.00 O.upf
ATOMIC_POSITIONS angstrom
Ca 0.0000 5.5385 0.0212
Ca 0.0000 5.5385 3.5056
Ca 4.7965 2.7692 3.5480
Ca 4.7965 2.7692 7.0324
La -3.5292 6.3344 1.7634
La 1.0753 2.0841 1.7634
La 2.3425 0.1108 5.2902
La 2.4539 8.1969 1.7634
La 3.7212 6.2236 5.2902
La 8.3257 1.9733 5.2902
Si -2.7214 5.2060 5.2902
Si 1.6486 3.3479 5.2902
Si 3.7237 0.2462 1.7634
Si 1.0727 8.0615 5.2902
Si 3.1478 4.9598 1.7634
Si 7.5178 3.1017 1.7634
O 0.0000 0.0000 1.7634
O 0.0000 0.0000 5.2902
O -2.7479 6.2334 4.0037
O -2.7479 6.2334 6.5767
O -1.2957 4.4099 5.2902
O -0.7748 4.0759 1.7634
O 0.7721 2.8113 4.0037
O 0.7721 2.8113 6.5767
O -0.8793 6.9407 1.7634
O 2.8207 0.7370 0.4769
O 2.8207 0.7370 3.0499
O -0.3295 7.2249 5.2902
O 1.6252 4.9807 5.2902
O 3.1424 2.7089 5.2902
O 1.6540 5.5988 1.7634
O 3.1712 3.3270 1.7634
O 5.1260 1.0828 1.7634
O 1.9758 7.5708 4.0037
O 1.9758 7.5708 6.5767
O 5.6757 1.3670 5.2902
O 4.0243 5.4964 0.4769
O 4.0243 5.4964 3.0499
O 5.5712 4.2318 5.2902
O 6.0922 3.8978 1.7634
O 7.5444 2.0743 0.4769
O 7.5444 2.0743 3.0499
CELL_PARAMETERS angstrom
9.5929 0.0000 0.0000
-4.7965 8.3077 0.0000
0.0000 0.0000 7.0536
```